# 1
# GGA-PBE TbMgBi2, optimized geometry
# DFT formation energy = -0.39 eV/atom
# Offset from the most stable computed form = 83 meV/atom
# Crystal system = trigonal
data_TbMgBi2
_chemical_formula_sum 'Tb3 Mg3 Bi6'
_cell_length_a 4.4705
_cell_length_b 4.4705
_cell_length_c 21.3416
_cell_angle_alpha 90.00
_cell_angle_beta 90.00
_cell_angle_gamma 120.00
_symmetry_space_group_name_H-M 'R -3 m'
_symmetry_Int_Tables_number 166
_symmetry_space_group_name_Hall '-R 3 2"'
loop_
_atom_site_label
_atom_site_type_symbol
_atom_site_fract_x
_atom_site_fract_y
_atom_site_fract_z
Tb1 Tb 0.0000 0.0000 0.0000
Mg1 Mg 0.0000 0.0000 0.5000
Bi1 Bi 0.0000 0.0000 0.2459

=====

# 2
# GGA-PBE TbMgBi2, optimized geometry
# DFT formation energy = -0.44 eV/atom
# Offset from the most stable computed form = 33 meV/atom
# Crystal system = tetragonal
data_TbMgBi2
_chemical_formula_sum 'Tb1 Mg1 Bi2'
_cell_length_a 5.1518
_cell_length_b 5.1518
_cell_length_c 4.2127
_cell_angle_alpha 90.00
_cell_angle_beta 90.00
_cell_angle_gamma 90.00
_symmetry_space_group_name_H-M 'P 4/m m m'
_symmetry_Int_Tables_number 123
_symmetry_space_group_name_Hall '-P 4 2'
loop_
_atom_site_label
_atom_site_type_symbol
_atom_site_fract_x
_atom_site_fract_y
_atom_site_fract_z
Tb1 Tb 0.0000 0.0000 0.0000
Mg1 Mg 0.5000 0.5000 0.0000
Bi1 Bi 0.0000 0.5000 0.5000

=====

# 3
# GGA-PBE TbMgBi2, optimized geometry
# DFT formation energy = -0.31 eV/atom
# Offset from the most stable computed form = 160 meV/atom
# Crystal system = cubic
data_TbMgBi2
_chemical_formula_sum 'Tb4 Mg4 Bi8'
_cell_length_a 7.7051
_cell_length_b 7.7051
_cell_length_c 7.7051
_cell_angle_alpha 90.00
_cell_angle_beta 90.00
_cell_angle_gamma 90.00
_symmetry_space_group_name_H-M 'F m -3 m'
_symmetry_Int_Tables_number 225
_symmetry_space_group_name_Hall '-F 4 2 3'
loop_
_atom_site_label
_atom_site_type_symbol
_atom_site_fract_x
_atom_site_fract_y
_atom_site_fract_z
Tb1 Tb 0.0000 0.0000 0.0000
Mg1 Mg 0.0000 0.0000 0.5000
Bi1 Bi 0.2500 0.2500 0.2500

=====

# 4
# GGA-PBE TbMgBi2, optimized geometry
# DFT formation energy = -0.39 eV/atom
# Offset from the most stable computed form = 78 meV/atom
# Crystal system = monoclinic
data_TbMgBi2
_chemical_formula_sum 'Tb4 Mg4 Bi8'
_cell_length_a 6.2406
_cell_length_b 12.6899
_cell_length_c 8.7635
_cell_angle_alpha 90.00
_cell_angle_beta 134.33
_cell_angle_gamma 90.00
_symmetry_space_group_name_H-M 'P 1 21/c 1'
_symmetry_Int_Tables_number 14
_symmetry_space_group_name_Hall '-P 2ybc'
loop_
_atom_site_label
_atom_site_type_symbol
_atom_site_fract_x
_atom_site_fract_y
_atom_site_fract_z
Tb1 Tb 0.0000 0.0293 0.2499
Mg1 Mg 0.4990 0.2446 0.2503
Bi1 Bi 0.0009 0.7242 0.7497
Bi2 Bi 0.4999 0.0041 0.7499

=====

# 5
# GGA-PBE Tb4Mg3Bi, optimized geometry
# DFT formation energy = -0.24 eV/atom
# Crystal system = trigonal
data_Tb4Mg3Bi
_chemical_formula_sum 'Tb12 Mg9 Bi3'
_cell_length_a 5.3930
_cell_length_b 5.3930
_cell_length_c 26.4357
_cell_angle_alpha 90.00
_cell_angle_beta 90.00
_cell_angle_gamma 120.00
_symmetry_space_group_name_H-M 'R -3 m'
_symmetry_Int_Tables_number 166
_symmetry_space_group_name_Hall '-R 3 2"'
loop_
_atom_site_label
_atom_site_type_symbol
_atom_site_fract_x
_atom_site_fract_y
_atom_site_fract_z
Tb1 Tb 0.0000 0.0000 0.1243
Tb2 Tb 0.0000 0.0000 0.3745
Mg1 Mg 0.0000 0.0000 0.0000
Mg2 Mg 0.0000 0.0000 0.2550
Bi1 Bi 0.0000 0.0000 0.5000

=====

# 6
# GGA-PBE TbMgBi2, optimized geometry
# DFT formation energy = -0.40 eV/atom
# Offset from the most stable computed form = 67 meV/atom
# Crystal system = trigonal
data_TbMgBi2
_chemical_formula_sum 'Tb3 Mg3 Bi6'
_cell_length_a 4.5736
_cell_length_b 4.5736
_cell_length_c 20.7717
_cell_angle_alpha 90.00
_cell_angle_beta 90.00
_cell_angle_gamma 120.00
_symmetry_space_group_name_H-M 'R 3 m'
_symmetry_Int_Tables_number 160
_symmetry_space_group_name_Hall 'R 3 -2"'
loop_
_atom_site_label
_atom_site_type_symbol
_atom_site_fract_x
_atom_site_fract_y
_atom_site_fract_z
Tb1 Tb 0.0000 0.0000 0.0000
Mg1 Mg 0.0000 0.0000 0.8291
Bi1 Bi 0.0000 0.0000 0.4174
Bi2 Bi 0.0000 0.0000 0.5816

=====

# 7
# GGA-PBE Tb2MgBi, optimized geometry
# DFT formation energy = -0.42 eV/atom
# Offset from the most stable computed form = 0 meV/atom
# Crystal system = tetragonal
data_Tb2MgBi
_chemical_formula_sum 'Tb2 Mg1 Bi1'
_cell_length_a 4.0637
_cell_length_b 4.0637
_cell_length_c 6.7835
_cell_angle_alpha 90.00
_cell_angle_beta 90.00
_cell_angle_gamma 90.00
_symmetry_space_group_name_H-M 'P 4/m m m'
_symmetry_Int_Tables_number 123
_symmetry_space_group_name_Hall '-P 4 2'
loop_
_atom_site_label
_atom_site_type_symbol
_atom_site_fract_x
_atom_site_fract_y
_atom_site_fract_z
Tb1 Tb 0.0000 0.0000 0.2473
Mg1 Mg 0.5000 0.5000 0.5000
Bi1 Bi 0.5000 0.5000 0.0000

=====

# 8
# GGA-PBE Tb2MgBi, optimized geometry
# DFT formation energy = -0.31 eV/atom
# Offset from the most stable computed form = 112 meV/atom
# Crystal system = cubic
data_Tb2MgBi
_chemical_formula_sum 'Tb8 Mg4 Bi4'
_cell_length_a 7.6857
_cell_length_b 7.6857
_cell_length_c 7.6857
_cell_angle_alpha 90.00
_cell_angle_beta 90.00
_cell_angle_gamma 90.00
_symmetry_space_group_name_H-M 'F m -3 m'
_symmetry_Int_Tables_number 225
_symmetry_space_group_name_Hall '-F 4 2 3'
loop_
_atom_site_label
_atom_site_type_symbol
_atom_site_fract_x
_atom_site_fract_y
_atom_site_fract_z
Tb1 Tb 0.2500 0.2500 0.2500
Mg1 Mg 0.0000 0.0000 0.0000
Bi1 Bi 0.0000 0.0000 0.5000